# GaNiMoW

A relaxed GaNiMoW crystal (PBE, OQMD).

Lattice parameters (Å, degrees): 4.3490 4.3490 4.3490 60.00 60.00 60.00
With the nearest neighbours (Å) after each atom.
Sites, in units of the cell vectors:
Ni (0.7500, 0.7500, 0.7500)  4 W 2.66, 4 Ga 2.66
W (0.5000, 0.5000, 0.5000)  4 Ni 2.66, 4 Mo 2.66
Mo (0.2500, 0.2500, 0.2500)  4 W 2.66, 4 Ga 2.66
Ga (0.0000, 0.0000, 0.0000)  4 Mo 2.66, 4 Ni 2.66

E: -7.98 eV per atom
spin magnetization: 0.0 μB per cell

***

# ZnGaNiMo

A relaxed ZnGaNiMo crystal (PBE, OQMD).

Lattice parameters (Å, degrees): 4.2864 4.2864 4.2864 60.00 60.00 60.00
With the nearest neighbours (Å) after each atom.
Sites, in units of the cell vectors:
Mo (0.2500, 0.2500, 0.2500)  4 Zn 2.62, 4 Ga 2.62
Ga (0.0000, 0.0000, 0.0000)  4 Ni 2.62, 4 Mo 2.62
Zn (0.5000, 0.5000, 0.5000)  4 Mo 2.62, 4 Ni 2.62
Ni (0.7500, 0.7500, 0.7500)  4 Ga 2.62, 4 Zn 2.62

E: -5.10 eV per atom
spin magnetization: 1.4 μB per cell

***

# ZrGaNiMo

A relaxed ZrGaNiMo crystal (PBE, OQMD).

Lattice parameters (Å, degrees): 4.4749 4.4749 4.4749 60.00 60.00 60.00
With the nearest neighbours (Å) after each atom.
Sites, in units of the cell vectors:
Mo (0.2500, 0.2500, 0.2500)  4 Zr 2.74, 4 Ga 2.74
Ni (0.7500, 0.7500, 0.7500)  4 Zr 2.74, 4 Ga 2.74
Ga (0.0000, 0.0000, 0.0000)  4 Mo 2.74, 4 Ni 2.74
Zr (0.5000, 0.5000, 0.5000)  4 Mo 2.74, 4 Ni 2.74

E: -7.02 eV per atom
spin magnetization: 0.2 μB per cell

***

# Ga2Mo2Os3

A relaxed Ga2Mo2Os3 crystal (PBE, OQMD).

Lattice parameters (Å, degrees): 7.3929 7.3929 7.3929 33.84 33.84 33.84
With the nearest neighbours (Å) after each atom.
Sites, in units of the cell vectors:
Os (0.6262, 0.6262, 0.6262)  4 Mo 2.67-2.73, 4 Ga 2.72-2.74
Os (0.8779, 0.8779, 0.8779)  4 Ga 2.53-2.55, 4 Mo 2.68-2.69
Os (0.3750, 0.3750, 0.3750)  4 Mo 2.51-2.59, 3 Ga 2.68
Ga (0.2379, 0.2379, 0.2379)  6 Os 2.55-2.74
Mo (0.4953, 0.4953, 0.4953)  5 Os 2.51-2.73
Mo (0.0060, 0.0060, 0.0060)  7 Os 2.59-2.68
Ga (0.7566, 0.7566, 0.7566)  5 Os 2.53-2.72

E: -8.69 eV per atom
spin magnetization: 0.0 μB per cell

***

# GaMoOs

A relaxed GaMoOs crystal (PBE, OQMD).

Lattice parameters (Å, degrees): 4.2071 4.2071 4.2071 60.00 60.00 60.00
With the nearest neighbours (Å) after each atom.
Sites, in units of the cell vectors:
Ga (0.2500, 0.2500, 0.2500)  4 Os 2.58
Mo (0.7500, 0.7500, 0.7500)  4 Os 2.58
Os (0.0000, 0.0000, 0.0000)  4 Ga 2.58, 4 Mo 2.58

E: -8.21 eV per atom
spin magnetization: 0.0 μB per cell

***

# PaGa2Mo

A relaxed PaGa2Mo crystal (PBE, OQMD).

Lattice parameters (Å, degrees): 4.6552 6.5595 5.1711 90.00 106.72 90.00
With the nearest neighbours (Å) after each atom.
Sites, in units of the cell vectors:
Ga (0.0763, 0.4489, 0.2712)  3 Ga 2.61-2.77, 3 Mo 2.69-2.78
Ga (0.9237, 0.5511, 0.7288)  3 Ga 2.61-2.77, 3 Mo 2.69-2.78
Ga (0.9237, 0.9489, 0.7288)  3 Ga 2.61-2.77, 3 Mo 2.69-2.78
Pa (0.5301, 0.7500, 0.1360)  2 Mo 2.63-2.68
Mo (0.3964, 0.7500, 0.6065)  2 Pa 2.63-2.68, 6 Ga 2.69-2.78
Pa (0.4699, 0.2500, 0.8640)  2 Mo 2.63-2.68
Mo (0.6036, 0.2500, 0.3935)  2 Pa 2.63-2.68, 6 Ga 2.69-2.78
Ga (0.0763, 0.0511, 0.2712)  3 Ga 2.61-2.77, 3 Mo 2.69-2.78

E: -6.89 eV per atom
spin magnetization: 0.0 μB per cell

***

# PaGaMo

A relaxed PaGaMo crystal (PBE, OQMD).

Lattice parameters (Å, degrees): 4.5143 4.5143 4.5143 60.00 60.00 60.00
With the nearest neighbours (Å) after each atom.
Sites, in units of the cell vectors:
Pa (0.7500, 0.7500, 0.7500)  4 Mo 2.76
Mo (0.0000, 0.0000, 0.0000)  4 Pa 2.76, 4 Ga 2.76
Ga (0.2500, 0.2500, 0.2500)  4 Mo 2.76

E: -7.59 eV per atom
spin magnetization: 0.0 μB per cell

***

# PaGaMo

A relaxed PaGaMo crystal (PBE, OQMD).

Lattice parameters (Å, degrees): 4.6047 4.6047 4.6047 60.00 60.00 60.00
With the nearest neighbours (Å) after each atom.
Sites, in units of the cell vectors:
Ga (0.2500, 0.2500, 0.2500)  4 Pa 2.82
Pa (0.0000, 0.0000, 0.0000)  4 Mo 2.82, 4 Ga 2.82
Mo (0.7500, 0.7500, 0.7500)  4 Pa 2.82

E: -6.88 eV per atom
spin magnetization: 0.0 μB per cell

***

# PaGaMo

A relaxed PaGaMo crystal (PBE, OQMD).

Lattice parameters (Å, degrees): 5.4104 5.4104 5.4104 118.78 118.04 92.78
With the nearest neighbours (Å) after each atom.
Sites, in units of the cell vectors:
Pa (0.1442, 0.8942, 0.2500)  6 Mo 2.99-3.29, 6 Ga 3.19-3.26, 2 Pa 3.20
Pa (0.8558, 0.1058, 0.7500)  6 Mo 2.99-3.29, 6 Ga 3.19-3.26, 2 Pa 3.20
Ga (0.5000, 0.5000, 0.0000)  4 Mo 2.71, 2 Ga 2.78
Ga (0.0000, 0.5000, 0.5000)  4 Mo 2.71, 2 Ga 2.78
Mo (0.5000, 0.5000, 0.5000)  4 Ga 2.71, 2 Mo 2.76, 2 Pa 2.99
Mo (0.5000, 0.0000, 0.0000)  4 Ga 2.71, 2 Mo 2.76, 2 Pa 2.99

E: -8.01 eV per atom
spin magnetization: 0.0 μB per cell

***

# GaMoPb

A relaxed GaMoPb crystal (PBE, OQMD).

Lattice parameters (Å, degrees): 4.7853 4.7853 4.7853 60.00 60.00 60.00
With the nearest neighbours (Å) after each atom.
Sites, in units of the cell vectors:
Pb (0.0000, 0.0000, 0.0000)  4 Ga 2.93, 4 Mo 2.93
Ga (0.2500, 0.2500, 0.2500)  4 Pb 2.93
Mo (0.7500, 0.7500, 0.7500)  4 Pb 2.93

E: -4.65 eV per atom
spin magnetization: 3.4 μB per cell

***

# Ga2MoPb

A relaxed Ga2MoPb crystal (PBE, OQMD).

Lattice parameters (Å, degrees): 4.8871 4.8871 4.8871 60.00 60.00 60.00
With the nearest neighbours (Å) after each atom.
Sites, in units of the cell vectors:
Mo (0.7500, 0.7500, 0.7500)  4 Ga 2.99, 4 Pb 2.99
Pb (0.5000, 0.5000, 0.5000)  4 Ga 2.99, 4 Mo 2.99
Ga (0.0000, 0.0000, 0.0000)  4 Mo 2.99, 4 Ga 2.99
Ga (0.2500, 0.2500, 0.2500)  4 Pb 2.99, 4 Ga 2.99

E: -4.46 eV per atom
spin magnetization: 2.6 μB per cell

***

# GaMoPb2

A relaxed GaMoPb2 crystal (PBE, OQMD).

Lattice parameters (Å, degrees): 5.1444 5.1444 5.1444 60.00 60.00 60.00
With the nearest neighbours (Å) after each atom.
Sites, in units of the cell vectors:
Mo (0.7500, 0.7500, 0.7500)  4 Ga 3.15, 4 Pb 3.15
Pb (0.5000, 0.5000, 0.5000)  4 Pb 3.15, 4 Mo 3.15
Pb (0.2500, 0.2500, 0.2500)  4 Pb 3.15, 4 Ga 3.15
Ga (0.0000, 0.0000, 0.0000)  4 Mo 3.15, 4 Pb 3.15

E: -4.55 eV per atom
spin magnetization: 3.0 μB per cell